Material: AcPr7Cd4
Method: DFT, PBE
State: relaxed

Cell: 15.116 6.103 10.067 Å, 90.00 121.85 90.00°
Space group C2/m (No. 12)
One atom of each set of equivalent atoms:
Ac: 0.000 0.000 0.000 x2
Pr: 0.000 0.500 0.000 x2
Pr: 0.068 0.000 0.409 x4
Pr: 0.203 0.000 0.882 x4
Pr: 0.231 0.500 0.685 x4
Cd: 0.034 0.500 0.707 x4
Cd: 0.185 0.500 0.341 x4

* VASP energy: -0.253 Ry/atom
* DOS(E_F): 1.245 states/eV/atom
* crystal system: monoclinic
* calculated formation energy: -0.0089 eV/atom

***

Material: AcPr3Cd
Method: DFT, PBE
State: relaxed

Cell: 13.786 3.896 13.216 Å, 90.00 93.31 90.00°
Space group C2/m (No. 12)
One atom of each set of equivalent atoms:
Ac: 0.229 0.000 0.248 x4
Pr: 0.037 0.000 0.689 x4
Pr: 0.134 0.500 0.476 x4
Pr: 0.143 0.000 0.953 x4
Cd: 0.045 0.500 0.127 x4

* VASP energy: -0.292 Ry/atom
* DOS(E_F): 1.496 states/eV/atom
* crystal system: monoclinic
* calculated formation energy: -0.1025 eV/atom

***

Material: Ac8Pr2Cd
Method: DFT, PBE
State: relaxed

Cell: 21.107 6.194 7.039 Å, 90.00 93.72 90.00°
Space group C2/m (No. 12)
One atom of each set of equivalent atoms:
Ac: 0.041 0.000 0.256 x4
Ac: 0.082 0.500 0.605 x4
Ac: 0.158 0.000 0.804 x4
Ac: 0.160 0.500 0.124 x4
Pr: 0.238 0.000 0.340 x4
Cd: 0.000 0.500 0.000 x2

* VASP energy: -0.290 Ry/atom
* DOS(E_F): 1.382 states/eV/atom
* crystal system: monoclinic
* calculated formation energy: -0.0002 eV/atom

***

Material: Ac2PrCd
Method: DFT, PBE
State: relaxed

Cell: 8.365 8.365 8.365 Å, 90.00 90.00 90.00°
Space group Fm-3m (No. 225)
One atom of each set of equivalent atoms:
Ac: 0.250 0.250 0.250 x8
Pr: 0.000 0.000 0.000 x4
Cd: 0.000 0.000 0.500 x4

* VASP energy: -0.256 Ry/atom
* DOS(E_F): 1.298 states/eV/atom
* crystal system: cubic
* calculated formation energy: -0.0017 eV/atom

***

Material: AcPr2Cd3
Method: DFT, PBE
State: relaxed

Cell: 3.944 3.944 11.879 Å, 90.00 90.00 90.00°
Space group P4/mmm (No. 123)
One atom of each set of equivalent atoms:
Ac: 0.000 0.000 0.000 x1
Pr: 0.000 0.000 0.340 x2
Cd: 0.500 0.500 0.183 x2
Cd: 0.500 0.500 0.500 x1

* VASP energy: -0.223 Ry/atom
* DOS(E_F): 1.383 states/eV/atom
* crystal system: tetragonal
* calculated formation energy: -0.3035 eV/atom

***

Material: AcPr8Cd2
Method: DFT, PBE
State: relaxed

Cell: 11.997 11.839 5.912 Å, 90.00 100.65 90.00°
Space group C2/m (No. 12)
One atom of each set of equivalent atoms:
Ac: 0.000 0.000 0.000 x2
Pr: 0.084 0.500 0.294 x4
Pr: 0.139 0.248 0.734 x8
Pr: 0.223 0.500 0.878 x4
Cd: 0.136 0.000 0.538 x4

* VASP energy: -0.276 Ry/atom
* DOS(E_F): 1.763 states/eV/atom
* crystal system: monoclinic
* calculated formation energy: 0.2583 eV/atom